Compound: ZrCd2H12O6F8
Source: OQMD
Functional: PBE-GGA
Structure: relaxed

a = 6.9077 Å, b = 6.9077 Å, c = 12.1323 Å
α = 105.78°, β = 96.42°, γ = 109.03°
Element x y z (fractional)
1 F 0.5451 0.3911 0.3631
2 F 0.8305 0.8240 0.2745
3 F 0.1620 0.7471 0.7061
4 F 0.4719 0.8180 0.8631
5 F 0.9217 0.6631 0.4257
6 F 0.4590 0.5441 0.2061
7 F 0.2626 0.5040 0.9257
8 F 0.1695 0.1760 0.7255
9 F 0.8380 0.2529 0.2939
10 F 0.9505 0.4440 0.7745
11 F 0.7374 0.4960 0.0743
12 F 0.0783 0.3369 0.5743
13 F 0.4549 0.6089 0.6369
14 F 0.0495 0.5560 0.2255
15 F 0.5410 0.4559 0.7939
16 F 0.5281 0.1820 0.1369
17 H 0.1298 0.6768 0.1410
18 H 0.8632 0.0303 0.8952
19 H 0.6572 0.3735 0.4771
20 H 0.6036 0.8199 0.9771
21 H 0.2992 0.3087 0.9532
22 H 0.8581 0.8051 0.5237
23 H 0.3649 0.0320 0.3952
24 H 0.1419 0.1949 0.4763
25 H 0.7814 0.3344 0.9763
26 H 0.7008 0.6913 0.0468
27 H 0.4129 0.8305 0.4067
28 H 0.6351 0.9680 0.6048
29 H 0.3964 0.1801 0.0229
30 H 0.8702 0.3232 0.8590
31 H 0.2186 0.6656 0.0237
32 H 0.9238 0.0062 0.0933
33 H 0.8555 0.3460 0.5468
34 H 0.1368 0.9697 0.1048
35 H 0.5871 0.1695 0.5933
36 H 0.0358 0.9888 0.3590
37 H 0.0762 0.9938 0.9067
38 H 0.3428 0.6265 0.5229
39 H 0.1445 0.6540 0.4532
40 H 0.9642 0.0112 0.6410
41 Zr 0.7408 0.4908 0.2500
42 Zr 0.2592 0.5092 0.7500
43 Cd 0.4521 0.0866 0.7885
44 Cd 0.2020 0.3365 0.2885
45 Cd 0.5479 0.9134 0.2115
46 Cd 0.7980 0.6635 0.7115
47 O 0.0795 0.0882 0.1181
48 O 0.3163 0.1677 0.9461
49 O 0.7908 0.2315 0.9026
50 O 0.2092 0.7685 0.0974
51 O 0.8289 0.8882 0.5974
52 O 0.7216 0.3702 0.5539
53 O 0.2784 0.6298 0.4461
54 O 0.1711 0.1118 0.4026
55 O 0.4701 0.9614 0.3819
56 O 0.6837 0.8323 0.0539
57 O 0.5299 0.0386 0.6181
58 O 0.9205 0.9118 0.8819

- SG: C2/c
- Spin magnetization: 0.01 Bohr magnetons per cell
- Total energy: -5.030 eV/atom
- Mass density: 3.7 g/cm3

Compound: HfCdNOF
Source: OQMD
Functional: PBE-GGA
Structure: relaxed

a = 3.3566 Å, b = 3.7005 Å, c = 5.3855 Å
α = 90.00°, β = 90.30°, γ = 90.00°
Element x y z (fractional)
1 N 0.4983 0.5000 0.7675
2 Hf 0.0000 0.5000 0.9987
3 Cd 0.4969 0.0000 0.5314
4 O 0.0015 0.0000 0.1475
5 F 0.5026 0.5000 0.2692

- SG: Pm
- Spin magnetization: 0.00 Bohr magnetons per cell
- Total energy: -7.106 eV/atom
- Mass density: 8.4 g/cm3

Compound: HfCdNOF
Source: OQMD
Functional: PBE-GGA
Structure: relaxed

a = 4.0585 Å, b = 4.1874 Å, c = 4.2012 Å
α = 90.00°, β = 90.00°, γ = 90.00°
Element x y z (fractional)
1 Hf 0.5000 0.5000 0.2976
2 F 0.5000 0.5000 0.7808
3 O 0.0000 0.5000 0.3439
4 N 0.5000 0.0000 0.1813
5 Cd 0.0000 0.0000 0.9870

- SG: Pmm2
- Spin magnetization: 0.00 Bohr magnetons per cell
- Total energy: -7.053 eV/atom
- Mass density: 7.9 g/cm3

Compound: TaCdHg2F6
Source: OQMD
Functional: PBE-GGA
Structure: relaxed

a = 4.9865 Å, b = 4.9865 Å, c = 7.3299 Å
α = 90.00°, β = 90.00°, γ = 120.00°
Element x y z (fractional)
1 F 0.0000 0.3109 0.8448
2 F 0.6891 0.6891 0.8448
3 F 0.6891 0.0000 0.1552
4 F 0.0000 0.6891 0.1552
5 F 0.3109 0.0000 0.8448
6 F 0.3109 0.3109 0.1552
7 Hg 0.6667 0.3333 0.5000
8 Hg 0.3333 0.6667 0.5000
9 Cd 0.0000 0.0000 0.5000
10 Ta 0.0000 0.0000 0.0000

- SG: P-31m
- Spin magnetization: 0.01 Bohr magnetons per cell
- Total energy: -4.678 eV/atom
- Mass density: 8.5 g/cm3

Compound: CdIn3F6
Source: OQMD
Functional: PBE-GGA
Structure: relaxed

a = 6.1305 Å, b = 6.1305 Å, c = 6.1305 Å
α = 60.00°, β = 60.00°, γ = 60.00°
Element x y z (fractional)
1 F 0.2554 0.7446 0.7446
2 F 0.2554 0.7446 0.2554
3 F 0.2554 0.2554 0.7446
4 F 0.7446 0.7446 0.2554
5 F 0.7446 0.2554 0.2554
6 F 0.7446 0.2554 0.7446
7 In 0.5000 0.5000 0.5000
8 In 0.7500 0.7500 0.7500
9 In 0.2500 0.2500 0.2500
10 Cd 0.0000 0.0000 0.0000

- SG: Fm-3m
- Total energy: -3.876 eV/atom
- Mass density: 5.8 g/cm3

Compound: K2CdInF6
Source: OQMD
Functional: PBE-GGA
Structure: relaxed

a = 6.1375 Å, b = 6.1375 Å, c = 6.1375 Å
α = 60.00°, β = 60.00°, γ = 60.00°
Element x y z (fractional)
1 F 0.7466 0.2534 0.7466
2 F 0.7466 0.2534 0.2534
3 F 0.2534 0.7466 0.7466
4 F 0.7466 0.7466 0.2534
5 F 0.2534 0.2534 0.7466
6 F 0.2534 0.7466 0.2534
7 Cd 0.0000 0.0000 0.0000
8 In 0.5000 0.5000 0.5000
9 K 0.2500 0.2500 0.2500
10 K 0.7500 0.7500 0.7500

- SG: Fm-3m
- Total energy: -4.069 eV/atom
- Mass density: 4.3 g/cm3